Ac3PrC after structural relaxation. Source: Alexandria via LeMat-Bulk, functional PBE-GGA.

Output
space-group type = No. 221
calculated density = 8.02 Mg/m³
calculated total energy = -25.42 eV per cell
E_form = 0.91 eV/f.u.

abc: 5.5684 5.5684 5.5684
angles: 90.00 90.00 90.00
With the nearest neighbours (Å) after each atom.
Positions (direct):
1 Ac 0.5000 0.0000 0.0000  2 C 2.78
2 Ac 0.0000 0.5000 0.0000  2 C 2.78
3 Ac 0.0000 0.0000 0.5000  2 C 2.78
4 C 0.0000 0.0000 0.0000  6 Ac 2.78
5 Pr 0.5000 0.5000 0.5000  12 Ac 3.94


AcPr3C after structural relaxation. Source: Alexandria via LeMat-Bulk, functional PBE-GGA.

Output
space-group type = No. 221
calculated density = 7.18 Mg/m³
calculated total energy = -27.03 eV per cell
E_form = 0.64 eV/f.u.

abc: 5.3494 5.3494 5.3494
angles: 90.00 90.00 90.00
With the nearest neighbours (Å) after each atom.
Positions (direct):
1 Pr 0.5000 0.0000 0.0000  2 C 2.67
2 Pr 0.0000 0.0000 0.5000  2 C 2.67
3 Pr 0.0000 0.5000 0.0000  2 C 2.67
4 C 0.0000 0.0000 0.0000  6 Pr 2.67
5 Ac 0.5000 0.5000 0.5000  12 Pr 3.78


AcPtC after structural relaxation. Source: Alexandria via LeMat-Bulk, functional PBE-GGA.

Output
space-group type = No. 2
calculated density = 10.74 Mg/m³
calculated total energy = -39.62 eV per cell
E_form = -0.44 eV/f.u.

abc: 4.1237 5.9357 8.9194
angles: 119.53 117.49 46.06
With the nearest neighbours (Å) after each atom.
Positions (direct):
1 C 0.7636 0.1471 0.3611  1 Pt 1.90
2 C 0.6157 0.5037 0.0722  1 Pt 1.90
3 Ac 0.7894 0.6745 0.4150  1 C 2.61
4 Ac 0.5898 0.9763 0.0182  1 C 2.61
5 Pt 0.4924 0.3783 0.8224  1 C 1.90
6 Pt 0.8869 0.2725 0.6109  1 C 1.90


Ac6Pt2C after structural relaxation. Source: Alexandria via LeMat-Bulk, functional PBE-GGA.

Output
space-group type = No. 14
calculated density = 9.88 Mg/m³
calculated total energy = -101.15 eV per cell
E_form = -4.62 eV/f.u.

abc: 7.0334 7.8041 10.8025
angles: 90.00 88.42 90.00
With the nearest neighbours (Å) after each atom.
Positions (direct):
1 Pt 0.0590 0.6105 0.7559  6 Ac 3.07-3.19
2 Pt 0.4410 0.1105 0.7441  6 Ac 3.07-3.19
3 Pt 0.9410 0.3895 0.2441  6 Ac 3.07-3.19
4 Pt 0.5590 0.8895 0.2559  6 Ac 3.07-3.19
5 Ac 0.1880 0.3271 0.9346  1 C 2.69
6 Ac 0.6389 0.4605 0.7629  1 C 2.73
7 Ac 0.8317 0.6891 0.4343  1 C 2.80
8 Ac 0.3611 0.5395 0.2371  1 C 2.73
9 Ac 0.6683 0.1891 0.0657  1 C 2.80
10 Ac 0.1389 0.0395 0.2629  1 C 2.73
11 Ac 0.1683 0.3109 0.5657  1 C 2.80
12 Ac 0.3317 0.8109 0.9343  1 C 2.80
13 Ac 0.8611 0.9605 0.7371  1 C 2.73
14 Ac 0.6880 0.1729 0.4346  1 C 2.69
15 Ac 0.8120 0.6729 0.0654  1 C 2.69
16 Ac 0.3120 0.8271 0.5654  1 C 2.69
17 C 0.5000 0.5000 0.0000  6 Ac 2.69-2.80
18 C 0.0000 0.0000 0.5000  6 Ac 2.69-2.80


Ac4Pt2C after structural relaxation. Source: Alexandria via LeMat-Bulk, functional PBE-GGA.

Output
space-group type = No. 139
calculated density = 10.24 Mg/m³
calculated total energy = -40.75 eV per cell
E_form = -3.01 eV/f.u.

abc: 5.2528 5.2528 8.5467
angles: 107.90 107.90 90.00
With the nearest neighbours (Å) after each atom.
Positions (direct):
1 Pt 0.3718 0.3718 0.7435  1 Ac 2.91
2 Pt 0.6282 0.6282 0.2565  1 Ac 2.91
3 Ac 0.1827 0.1827 0.3653  1 C 2.81, 1 Pt 2.91
4 Ac 0.5000 0.0000 0.0000  2 C 2.63
5 Ac 0.8173 0.8173 0.6347  1 C 2.81, 1 Pt 2.91
6 Ac 0.0000 0.5000 0.0000  2 C 2.63
7 C 0.0000 0.0000 0.0000  6 Ac 2.63-2.81


AcPuC after structural relaxation. Source: Alexandria via LeMat-Bulk, functional PBE-GGA.

Output
space-group type = No. 156
calculated density = 10.36 Mg/m³
calculated total energy = -27.17 eV per cell
E_form = 0.49 eV/f.u.

abc: 6.6577 3.6635 3.6635
angles: 120.00 90.00 90.00
With the nearest neighbours (Å) after each atom.
Positions (direct):
1 Pu 0.1258 0.0000 0.0000  3 C 2.42
2 C 0.3035 0.3333 0.6667  3 Pu 2.42
3 Ac 0.5707 0.6667 0.3333  3 C 2.76


AcPu2C after structural relaxation. Source: Alexandria via LeMat-Bulk, functional PBE-GGA.

Output
space-group type = No. 123
calculated density = 12.48 Mg/m³
calculated total energy = -40.54 eV per cell
E_form = 1.46 eV/f.u.

abc: 3.2811 3.2811 8.9840
angles: 90.00 90.00 90.00
With the nearest neighbours (Å) after each atom.
Positions (direct):
1 C 0.5000 0.5000 0.0000  8 Pu 2.68
2 Pu 0.0000 0.0000 0.8507  4 C 2.68, 1 Pu 2.68
3 Pu 0.0000 0.0000 0.1493  4 C 2.68, 1 Pu 2.68
4 Ac 0.5000 0.5000 0.5000  4 Ac 3.28


AcPu2C after structural relaxation. Source: Alexandria via LeMat-Bulk, functional PBE-GGA.

Output
space-group type = No. 166
calculated density = 12.97 Mg/m³
calculated total energy = -40.67 eV per cell
E_form = 1.32 eV/f.u.

abc: 3.9805 3.9805 7.1606
angles: 73.86 73.86 60.00
With the nearest neighbours (Å) after each atom.
Positions (direct):
1 Ac 0.5000 0.5000 0.5000  8 Pu 3.75-3.82, 6 Ac 3.98, 6 C 4.10
2 Pu 0.3121 0.3121 0.0638  3 C 2.34, 3 Pu 2.46
3 Pu 0.6879 0.6879 0.9362  3 C 2.34, 3 Pu 2.46
4 C 0.0000 0.0000 0.0000  6 Pu 2.34


AcPuC after structural relaxation. Source: Alexandria via LeMat-Bulk, functional PBE-GGA.

Output
space-group type = No. 14
calculated density = 10.23 Mg/m³
calculated total energy = -109.32 eV per cell
E_form = 0.33 eV/f.u.

abc: 7.2714 7.0246 6.2221
angles: 80.55 90.00 90.00
With the nearest neighbours (Å) after each atom.
Positions (direct):
1 C 0.6226 0.9894 0.7258  3 Pu 2.38-2.46
2 C 0.3774 0.0106 0.2742  3 Pu 2.38-2.46
3 C 0.1226 0.0106 0.7742  3 Pu 2.38-2.46
4 C 0.8774 0.9894 0.2258  3 Pu 2.38-2.46
5 Ac 0.6088 0.7509 0.1250  3 C 2.71-2.76
6 Ac 0.3912 0.2491 0.8750  3 C 2.71-2.76
7 Ac 0.8912 0.7509 0.6250  3 C 2.71-2.76
8 Ac 0.1088 0.2491 0.3750  3 C 2.71-2.76
9 Pu 0.6404 0.1818 0.3743  3 C 2.38-2.46
10 Pu 0.1404 0.8182 0.1257  3 C 2.38-2.46
11 Pu 0.8596 0.1818 0.8743  3 C 2.38-2.46
12 Pu 0.3596 0.8182 0.6257  3 C 2.38-2.46


AcPu3C after structural relaxation. Source: Alexandria via LeMat-Bulk, functional PBE-GGA.

Output
space-group type = No. 221
calculated density = 12.66 Mg/m³
calculated total energy = -54.93 eV per cell
E_form = 1.39 eV/f.u.

abc: 5.0317 5.0317 5.0317
angles: 90.00 90.00 90.00
With the nearest neighbours (Å) after each atom.
Positions (direct):
1 Pu 0.0000 0.5000 0.0000  2 C 2.52
2 Pu 0.5000 0.0000 0.0000  2 C 2.52
3 Pu 0.0000 0.0000 0.5000  2 C 2.52
4 C 0.0000 0.0000 0.0000  6 Pu 2.52
5 Ac 0.5000 0.5000 0.5000  12 Pu 3.56


AcPuC after structural relaxation. Source: Alexandria via LeMat-Bulk, functional PBE-GGA.

Output
space-group type = No. 216
calculated density = 11.84 Mg/m³
calculated total energy = -25.96 eV per cell
E_form = 1.71 eV/f.u.

abc: 4.5751 4.5751 4.5751
angles: 60.00 60.00 60.00
With the nearest neighbours (Å) after each atom.
Positions (direct):
1 Ac 0.5000 0.5000 0.5000  4 C 2.80
2 C 0.2500 0.2500 0.2500  4 Ac 2.80, 4 Pu 2.80
3 Pu 0.0000 0.0000 0.0000  4 C 2.80


AcPuC after structural relaxation. Source: Alexandria via LeMat-Bulk, functional PBE-GGA.

Output
space-group type = No. 107
calculated density = 11.66 Mg/m³
calculated total energy = -26.18 eV per cell
E_form = 1.49 eV/f.u.

abc: 3.3326 3.3326 6.6282
angles: 104.56 104.56 90.00
With the nearest neighbours (Å) after each atom.
Positions (direct):
1 C 0.3091 0.3091 0.6181  4 Pu 2.56
2 Pu 0.7277 0.7277 0.4555  4 C 2.56
3 Ac 0.9632 0.9632 0.9264  1 Pu 2.92, 4 C 3.03


RbAc2C after structural relaxation. Source: Alexandria via LeMat-Bulk, functional PBE-GGA.

Output
space-group type = No. 166
calculated density = 5.69 Mg/m³
calculated total energy = -17.73 eV per cell
E_form = 0.68 eV/f.u.

abc: 3.9756 3.9756 11.9818
angles: 80.45 80.45 60.00
With the nearest neighbours (Å) after each atom.
Positions (direct):
1 C 0.5000 0.5000 0.5000  6 Ac 2.74
2 Rb 0.0000 0.0000 0.0000  6 Rb 3.98, 2 Ac 4.38
3 Ac 0.8758 0.8758 0.3726  3 C 2.74
4 Ac 0.1242 0.1242 0.6274  3 C 2.74